Record 1
The following is a PBE with a Hubbard U calculation of a relaxed structure of InWN2O, from the Alexandria database.

The structure in POSCAR format:
```
InWN2O
1.0
-1.933 2.155 2.922
-1.580 -3.262 1.360
3.220 -0.514 2.508
N In W O
2 1 1 1
Direct
0.000 0.000 0.500
0.500 0.000 0.000
0.500 0.500 0.500
0.000 0.000 0.000
0.000 0.500 0.000
```

Values from the calculation:
The symmetry is P4/mmm (123). The magnetization is 0.0 μB per cell. The calculation puts the energy at -6.485 eV/atom.

Record 2
The following is a PBE with a Hubbard U calculation of a relaxed structure of InWN2O, from the Alexandria database.

The structure in POSCAR format:
```
InWN2O
1.0
-3.385 2.048 -1.206
-1.576 -3.505 -1.528
-1.799 -0.800 3.690
O N In W
1 2 1 1
Direct
0.000 0.000 0.500
0.000 0.500 0.000
0.500 0.000 0.000
0.000 0.000 0.000
0.500 0.500 0.500
```

Values from the calculation:
The symmetry is P4/mmm (123). The magnetization is 1.3 μB per cell. The calculation puts the energy at -4.999 eV/atom.

Copy entry 1 word for word.
The following is a PBE with a Hubbard U calculation of a relaxed structure of InWN2O, from the Alexandria database.

The structure in POSCAR format:
```
InWN2O
1.0
-1.933 2.155 2.922
-1.580 -3.262 1.360
3.220 -0.514 2.508
N In W O
2 1 1 1
Direct
0.000 0.000 0.500
0.500 0.000 0.000
0.500 0.500 0.500
0.000 0.000 0.000
0.000 0.500 0.000
```

Values from the calculation:
The symmetry is P4/mmm (123). The magnetization is 0.0 μB per cell. The calculation puts the energy at -6.485 eV/atom.